Here is a geometry-optimized SmTcIr structure from OQMD via LeMat-Bulk. Energies are from GGA-PBE.

Its space group is No. 216. For the calculated formation energy, the calculation gives 1046.0 meV per atom. The calculation puts the energy above the most stable polymorph in this dataset at 0.729 eV per atom. Its calculated total energy is -20.789 eV for the cell shown.

Cell lengths 4.5609, 4.5609, 4.5609 Å; angles 60.00, 60.00, 60.00 degrees
Element x y z (fractional)
Tc 0.7500 0.7500 0.7500
Sm 0.0000 0.0000 0.0000
Ir 0.2500 0.2500 0.2500